DFT (GGA-PBE) results for a relaxed structure of PrSb2Pd5.

## Properties
raw formation energy	-13.6	kcal/mol of atoms

a b c (Å): 4.1589 7.2416 10.7444
angles (deg): 90.00 90.00 90.00
Closest atoms and distances in Å follow each position.
Space group Immm (No. 71)
Unique sites:
1 Pr 0.0000 0.0000 0.0000 x2  10 Pd 3.34-3.62, 4 Sb 3.45
2 Sb 0.0000 0.5000 0.2432 x4  7 Pd 2.58-2.79
3 Pd 0.0000 0.1955 0.3687 x8  3 Sb 2.58-2.79, 4 Pd 2.82-2.88
4 Pd 0.0000 0.5000 0.0000 x2  2 Sb 2.61, 8 Pd 2.88